Entry from Alexandria via LeMat-Bulk: SnAsNO2 after structural relaxation (PBE).

a = 3.8488 Å, b = 3.8488 Å, c = 3.9680 Å
α = 90.00°, β = 90.00°, γ = 90.00°
Last column: nearest neighbours and their distance in Å.
Fractional positions:
1 As 0.0000 0.0000 0.0000  4 O 1.92, 2 N 1.98
2 N 0.0000 0.0000 0.5000  2 As 1.98
3 O 0.0000 0.5000 0.0000  2 As 1.92
4 O 0.5000 0.0000 0.0000  2 As 1.92
5 Sn 0.5000 0.5000 0.5000  4 N 2.72, 8 O 2.76

Output
- N(E_F): 0.266 states/eV/atom
- Density: 6.77 g/cm3
- Formation energy (no corrections): -0.22 eV/atom